Here is a relaxed structure of K2AuCl from Alexandria via LeMat-Bulk. Energies are from PBE.

Geometry as CIF:
```
data_K2AuCl
_symmetry_space_group_name_H-M 'F m -3 m'
_symmetry_Int_Tables_number 225
_symmetry_space_group_name_Hall '-F 4 2 3'
_cell_length_a 7.922
_cell_length_b 7.922
_cell_length_c 7.922
_cell_angle_alpha 90.00
_cell_angle_beta 90.00
_cell_angle_gamma 90.00
loop_
_atom_site_label
_atom_site_type_symbol
_atom_site_fract_x
_atom_site_fract_y
_atom_site_fract_z
_atom_site_occupancy
K1 K 0.250 0.250 0.250 1
Au1 Au 0.000 0.000 0.000 1
Cl1 Cl 0.000 0.000 0.500 1
```

Output
The calculated density comes out at 4.1 g/cm3. The total energy comes out at -2.862 eV per atom. For the energy above the most stable polymorph in this dataset, the calculation gives 91.4 meV per atom. The value obtained for the uncorrected formation energy is -1.032 eV per atom.

Here is a relaxed structure of La2LuTl from Alexandria via LeMat-Bulk. Energies are from PBE.

Geometry as CIF:
```
data_La2LuTl
_symmetry_space_group_name_H-M 'P 4/m m m'
_symmetry_Int_Tables_number 123
_symmetry_space_group_name_Hall '-P 4 2'
_cell_length_a 4.288
_cell_length_b 4.288
_cell_length_c 6.991
_cell_angle_alpha 90.00
_cell_angle_beta 90.00
_cell_angle_gamma 90.00
loop_
_atom_site_label
_atom_site_type_symbol
_atom_site_fract_x
_atom_site_fract_y
_atom_site_fract_z
_atom_site_occupancy
La1 La 0.000 0.000 0.236 1
Lu1 Lu 0.500 0.500 0.500 1
Tl1 Tl 0.500 0.500 0.000 1
```

Output
The calculated density comes out at 8.5 g/cm3. The total energy comes out at -4.334 eV per atom. For the energy above the most stable polymorph in this dataset, the calculation gives 45.8 meV per atom. The calculation puts the formation energy at -14 kJ per mole of atoms.

Here is a relaxed structure of La4Tb3Te8 from Alexandria via LeMat-Bulk. Energies are from PBE.

Geometry as CIF:
```
data_La4Tb3Te8
_symmetry_space_group_name_H-M 'R -3 m'
_symmetry_Int_Tables_number 166
_symmetry_space_group_name_Hall '-R 3 2"'
_cell_length_a 8.7994
_cell_length_b 8.7994
_cell_length_c 25.0047
_cell_angle_alpha 90.00
_cell_angle_beta 90.00
_cell_angle_gamma 120.00
loop_
_atom_site_label
_atom_site_type_symbol
_atom_site_fract_x
_atom_site_fract_y
_atom_site_fract_z
_atom_site_occupancy
La1 La 0.0000 0.0000 0.0000 1
La2 La 0.0000 0.0000 0.1443 1
La3 La 0.0000 0.0000 0.5000 1
Tb1 Tb 0.0000 0.5000 0.0000 1
Te1 Te 0.0000 0.0000 0.2678 1
Te2 Te 0.0126 0.5063 0.2556 1
```

Output
The calculated density comes out at 6.1 g/cm3. The total energy comes out at -5.207 eV per atom. For the energy above the most stable polymorph in this dataset, the calculation gives 198.7 meV per atom. The value obtained for the uncorrected formation energy is -1.291 eV per atom.